(1)
The following is a PBEsol calculation of a geometry-optimized MoPt2Au structure, from the Alexandria database.

Calculated values
The calculation puts the energy above the most stable polymorph in this dataset at 0.000 eV per atom. The calculation puts the volume at 15.43 Å³ per atom.

Lattice parameters (Å, degrees): 2.788 2.788 7.942 90.00 90.00 90.00
Space group P4/mmm (No. 123)
Inequivalent atoms, fractional coordinates:
Mo  0.000  0.000  0.000 [1 per cell]
Pt  0.500  0.500  0.233 [2 per cell]
Au  0.000  0.000  0.500 [1 per cell]

(2)
The following is a PBEsol calculation of a geometry-optimized Y5Cd structure, from the Alexandria database.

Calculated values
The calculation puts the energy above the most stable polymorph in this dataset at 0.012 eV per atom. The calculation puts the volume at 29.06 Å³ per atom.

Lattice parameters (Å, degrees): 12.124 3.697 8.410 90.00 112.33 90.00
Space group Cm (No. 8)
Inequivalent atoms, fractional coordinates:
Y  0.000  0.000  0.000 [2 per cell]
Y  0.024  0.000  0.450 [2 per cell]
Y  0.169  0.500  0.806 [2 per cell]
Y  0.315  0.000  0.162 [2 per cell]
Y  0.339  0.000  0.613 [2 per cell]
Cd  0.170  0.500  0.307 [2 per cell]